1.
An optimized crystal structure of SmP, computed with PBE.

Results
Raw total energy (eV per atom): -6.637
Symmetry: No. 225
E_form (kcal/mol of atoms): -36.3

a b c (Å): 4.1074 4.1074 4.1074
angles (deg): 60.00 60.00 60.00
Fractional coordinates of all 2 atoms:
Sm (0.5000, 0.5000, 0.5000)
P (0.0000, 0.0000, 0.0000)

***

2.
An optimized crystal structure of Sm6P5, computed with PBE.

Results
Raw total energy (eV per atom): -6.472
Symmetry: No. 12
E_form (kcal/mol of atoms): -33.2

a b c (Å): 7.0881 7.0835 7.0777
angles (deg): 120.03 99.61 70.51
Fractional coordinates of all 11 atoms:
Sm (0.2583, 0.2595, 0.0000)
Sm (0.2545, 0.5695, 0.6546)
Sm (0.2545, 0.9148, 0.3454)
Sm (0.7455, 0.0852, 0.6546)
Sm (0.7417, 0.7405, 0.0000)
Sm (0.7455, 0.4305, 0.3454)
P (0.0000, 0.6665, 0.3330)
P (0.5000, 0.1658, 0.3315)
P (0.5000, 0.8342, 0.6685)
P (0.5000, 0.5000, 0.0000)
P (0.0000, 0.3335, 0.6670)

***

3.
An optimized crystal structure of SmP4, computed with PBE.

Results
Raw total energy (eV per atom): -3.930
Symmetry: No. 221
E_form (kcal/mol of atoms): 30.9

a b c (Å): 5.3377 5.3377 5.3377
angles (deg): 90.00 90.00 90.00
Last column: magnetic moment on the atom in μB.
Fractional coordinates of all 5 atoms:
P (0.5000, 0.5000, 0.0000)  -0.05
P (0.5000, 0.0000, 0.5000)  -0.05
P (0.0000, 0.0000, 0.0000)  0.65
P (0.0000, 0.5000, 0.5000)  -0.05
Sm (0.5000, 0.5000, 0.5000)  0.04

***

4.
An optimized crystal structure of SmSnP2, computed with PBE.

Results
Raw total energy (eV per atom): -5.100
Symmetry: No. 166
E_form (kcal/mol of atoms): -5.0

a b c (Å): 4.3678 4.3678 7.9665
angles (deg): 74.09 74.09 60.00
Fractional coordinates of all 4 atoms:
Sm (0.5000, 0.5000, 0.5000)
P (0.8938, 0.8938, 0.3186)
P (0.1062, 0.1062, 0.6814)
Sn (0.0000, 0.0000, 0.0000)

***

5.
An optimized crystal structure of Sm3SnP, computed with PBE.

Results
Raw total energy (eV per atom): -5.700
Symmetry: No. 62
E_form (kcal/mol of atoms): -22.7

a b c (Å): 4.2861 8.6763 15.2000
angles (deg): 90.00 90.00 90.00
Last column: magnetic moment on the atom in μB.
Fractional coordinates of all 20 atoms:
Sn (0.7500, 0.9051, 0.8219)  -0.01
Sn (0.2500, 0.5949, 0.3219)  -0.01
Sn (0.7500, 0.4051, 0.6781)  -0.01
Sn (0.2500, 0.0949, 0.1781)  -0.01
Sm (0.2500, 0.3433, 0.5175)  0.05
Sm (0.2500, 0.1838, 0.7851)  0.08
Sm (0.7500, 0.8162, 0.2149)  0.08
Sm (0.2500, 0.8433, 0.9825)  0.05
Sm (0.7500, 0.6567, 0.4825)  0.05
Sm (0.2500, 0.9785, 0.3919)  0.11
Sm (0.2500, 0.4785, 0.1081)  0.11
Sm (0.7500, 0.3162, 0.2851)  0.08
Sm (0.7500, 0.1567, 0.0175)  0.05
Sm (0.2500, 0.6838, 0.7149)  0.08
Sm (0.7500, 0.5215, 0.8919)  0.11
Sm (0.7500, 0.0215, 0.6081)  0.11
P (0.7500, 0.6733, 0.0555)  -0.01
P (0.7500, 0.1733, 0.4445)  -0.01
P (0.2500, 0.3267, 0.9445)  -0.01
P (0.2500, 0.8267, 0.5555)  -0.01

***

6.
An optimized crystal structure of SmSnP, computed with PBE.

Results
Raw total energy (eV per atom): -5.452
Symmetry: No. 166
E_form (kcal/mol of atoms): -17.1

a b c (Å): 5.0651 5.0651 8.0434
angles (deg): 71.65 71.65 60.00
Fractional coordinates of all 6 atoms:
Sm (0.5996, 0.5996, 0.2011)
Sm (0.4004, 0.4004, 0.7989)
Sn (0.8383, 0.8383, 0.4851)
Sn (0.1617, 0.1617, 0.5149)
P (0.2773, 0.2773, 0.1680)
P (0.7227, 0.7227, 0.8320)